Record 1
CaPbCl (SCAN, single point on PBEsol structure); energy relative to the elements, uncorrected = -0.87 eV per formula unit; total DFT energy (no corrections) = -94.3 eV/cell; space-group type = No. 216
1.0
-4.100 -1.228 -3.042
0.479 -3.718 -3.677
-2.428 -4.617 0.603
Cl Pb Ca
1 1 1
direct
0.500 0.500 0.500
0.250 0.250 0.250
0.000 0.000 0.000

Record 2
LaMn3 (SCAN, single point on PBEsol structure); total DFT energy (no corrections) = -97.0 eV/cell; ΔE_f = 0.209 eV/atom; space-group type = No. 139
1.0
-0.868 -3.444 -2.076
0.625 -2.214 3.411
-3.821 3.230 0.315
Mn La
3 1
direct
0.750 0.250 0.500
0.500 0.500 0.000
0.250 0.750 0.500
0.000 0.000 0.000

Record 3
AgRuAu2 (SCAN, single point on PBEsol structure); total DFT energy (no corrections) = -203.3 eV/cell; ΔE_f = 0.313 eV/atom; space-group type = No. 25
1.0
-1.415 2.342 0.075
-2.747 -1.736 2.428
3.016 1.675 4.611
Ru Ag Au
1 1 2
direct
0.000 0.000 0.494
0.500 0.500 0.746
0.000 0.000 0.994
0.500 0.500 0.265

Number 1: size of the total moment 0.02 μB/f.u.. Number 2: size of the total moment 10.28 μB/f.u.. Number 3: size of the total moment 1.85 μB/f.u..